A plane-wave DFT calculation with PBE was carried out for LiTm2Hg6 after structural relaxation.

```
data_LiTm2Hg6
_chemical_formula_sum 'Li4 Tm8 Hg24'
_cell_length_a 9.248
_cell_length_b 16.698
_cell_length_c 5.412
_cell_angle_alpha 90.00
_cell_angle_beta 91.63
_cell_angle_gamma 90.00
_symmetry_space_group_name_H-M 'C 1 2/c 1'
_symmetry_Int_Tables_number 15
_symmetry_space_group_name_Hall '-C 2yc'
loop_
_atom_site_label
_atom_site_fract_x
_atom_site_fract_y
_atom_site_fract_z
_atom_site_occupancy
Li1 0.000 0.250 0.250 1
Tm1 0.250 0.083 0.500 1
Hg1 0.082 0.090 0.002 1
Hg2 0.082 0.410 0.002 1
Hg3 0.169 0.250 0.745 1
```

Results
V in Å³ per cell: 835.5
DFT formation energy in eV per formula unit: -2.94
Relative energy among the computed polymorphs in kcal/mol of atoms: 0.000
Total moment in μB/f.u.: 0.00
VASP energy in eV per formula unit: -15.6